SiICl3 after structural relaxation. Source: Alexandria via LeMat-Bulk, functional PBE.

a = 6.724 Å, b = 9.994 Å, c = 7.430 Å
α = 90.00°, β = 116.04°, γ = 90.00°
Element x y z (fractional)
Si 0.125 0.250 0.404
Si 0.875 0.750 0.596
I 0.362 0.250 0.763
I 0.638 0.750 0.237
Cl 0.184 0.084 0.275
Cl 0.184 0.416 0.275
Cl 0.200 0.750 0.649
Cl 0.800 0.250 0.351
Cl 0.816 0.584 0.725
Cl 0.816 0.916 0.725

Values from the calculation:
D(E_F): 0.00 states/eV per cell
ΔE_f (raw): -1.017 eV per atom
Total energy: -3.5197 eV per atom
Energy above the most stable polymorph in this dataset: 0 kJ/mol of formula units